Record 1
This record from the Alexandria database describes a crystal of ZrZnPtSe2 relaxed with PBEsol. The functional is meta-GGA SCAN.

Values from the calculation:
As for the density of states at the Fermi level: 2.2 states/eV/f.u. The calculation puts the uncorrected formation energy at 0.1664 eV per atom. Its magnetic moment is 0.000 μB per cell.

Unit cell a=4.686 b=4.686 c=4.625 alpha=90.00 beta=90.00 gamma=90.00
Space group P4/mmm (No. 123)
Unique sites:
Zr 0.000 0.000 0.000
Zn 0.500 0.500 0.500
Pt 0.500 0.500 0.000
Se 0.000 0.500 0.500

Record 2
This record from the Alexandria database describes a crystal of ZrZn2PtSe relaxed with PBEsol. The functional is meta-GGA SCAN.

Values from the calculation:
As for the density of states at the Fermi level: 1.4 states/eV/f.u. The calculation puts the uncorrected formation energy at -0.3048 eV per atom. Its magnetic moment is 0.000 μB per cell.

Unit cell a=4.664 b=4.664 c=5.066 alpha=90.00 beta=90.00 gamma=90.00
Space group P4/mmm (No. 123)
Unique sites:
Zr 0.000 0.000 0.000
Zn 0.000 0.500 0.500
Pt 0.000 0.000 0.500
Se 0.500 0.500 0.000

Record 3
This record from the Alexandria database describes a crystal of Zr2ZnPtSe relaxed with PBEsol. The functional is meta-GGA SCAN.

Values from the calculation:
As for the density of states at the Fermi level: 4.1 states/eV/f.u. The calculation puts the uncorrected formation energy at 0.0954 eV per atom. Its magnetic moment is 0.000 μB per cell.

Unit cell a=4.887 b=4.887 c=4.410 alpha=90.00 beta=90.00 gamma=90.00
Space group P4/mmm (No. 123)
Unique sites:
Zr 0.000 0.500 0.000
Zn 0.000 0.000 0.500
Pt 0.500 0.500 0.500
Se 0.000 0.000 0.000

Record 4
This record from the Alexandria database describes a crystal of ZrPtSe relaxed with PBEsol. The functional is meta-GGA SCAN.

Values from the calculation:
As for the density of states at the Fermi level: 2.9 states/eV/f.u. The calculation puts the uncorrected formation energy at -0.7187 eV per atom. Its magnetic moment is 0.000 μB per cell.

Unit cell a=6.296 b=6.296 c=6.296 alpha=90.00 beta=90.00 gamma=90.00
Space group F-43m (No. 216)
Unique sites:
Zr 0.000 0.000 0.000
Pt 0.250 0.250 0.250
Se 0.000 0.000 0.500

Record 5
This record from the Alexandria database describes a crystal of ZrPt2Se relaxed with PBEsol. The functional is meta-GGA SCAN.

Values from the calculation:
As for the density of states at the Fermi level: 0.7 states/eV/f.u. The calculation puts the uncorrected formation energy at -0.8744 eV per atom. Its magnetic moment is 0.000 μB per cell.

Unit cell a=3.592 b=3.592 c=5.389 alpha=90.00 beta=90.00 gamma=90.00
Space group P4/mmm (No. 123)
Unique sites:
Zr 0.000 0.000 0.000
Pt 0.500 0.500 0.245
Se 0.000 0.000 0.500

Record 6
This record from the Alexandria database describes a crystal of ZrPtSe2 relaxed with PBEsol. The functional is meta-GGA SCAN.

Values from the calculation:
As for the density of states at the Fermi level: 1.4 states/eV/f.u. The calculation puts the uncorrected formation energy at -0.5129 eV per atom. Its magnetic moment is 0.000 μB per cell.

Unit cell a=6.563 b=6.563 c=6.563 alpha=90.00 beta=90.00 gamma=90.00
Space group Fm-3m (No. 225)
Unique sites:
Zr 0.000 0.000 0.000
Pt 0.000 0.000 0.500
Se 0.250 0.250 0.250

Record 7
This record from the Alexandria database describes a crystal of ZrPt2Se relaxed with PBEsol. The functional is meta-GGA SCAN.

Values from the calculation:
As for the density of states at the Fermi level: 1.8 states/eV/f.u. The calculation puts the uncorrected formation energy at -0.7818 eV per atom. Its magnetic moment is 0.000 μB per cell.

Unit cell a=3.392 b=4.288 c=9.132 alpha=90.00 beta=90.00 gamma=90.00
Space group Immm (No. 71)
Unique sites:
Zr 0.000 0.000 0.000
Pt 0.000 0.500 0.233
Se 0.000 0.000 0.500

Record 8
This record from the Alexandria database describes a crystal of ZrPtSe2 relaxed with PBEsol. The functional is meta-GGA SCAN.

Values from the calculation:
As for the density of states at the Fermi level: 2.0 states/eV/f.u. The calculation puts the uncorrected formation energy at -0.3762 eV per atom. Its magnetic moment is 0.000 μB per cell.

Unit cell a=6.635 b=6.635 c=6.635 alpha=90.00 beta=90.00 gamma=90.00
Space group F-43m (No. 216)
Unique sites:
Zr 0.000 0.000 0.000
Pt 0.250 0.250 0.250
Se 0.000 0.000 0.500
Se 0.250 0.250 0.750

Record 9
This record from the Alexandria database describes a crystal of SiPt relaxed with PBEsol. The functional is meta-GGA SCAN.

Values from the calculation:
As for the density of states at the Fermi level: 1.4 states/eV/f.u. The calculation puts the uncorrected formation energy at 0.1485 eV per atom. Its magnetic moment is 0.000 μB per cell.

Unit cell a=6.174 b=6.174 c=6.174 alpha=90.00 beta=90.00 gamma=90.00
Space group Fd-3m (No. 227, origin choice 2)
Unique sites:
Si 0.125 0.125 0.125
Pt 0.125 0.125 0.625

Record 10
This record from the Alexandria database describes a crystal of SiPt relaxed with PBEsol. The functional is meta-GGA SCAN.

Values from the calculation:
As for the density of states at the Fermi level: 0.6 states/eV/f.u. The calculation puts the uncorrected formation energy at -0.2645 eV per atom. Its magnetic moment is 0.000 μB per cell.

Unit cell a=2.783 b=4.658 c=8.729 alpha=90.00 beta=90.00 gamma=90.00
Space group Imma (No. 74)
Unique sites:
Si 0.000 0.250 0.133
Pt 0.000 0.250 0.601

Record 11
This record from the Alexandria database describes a crystal of Si5Pt6 relaxed with PBEsol. The functional is meta-GGA SCAN.

Values from the calculation:
As for the density of states at the Fermi level: 1.5 states/eV/f.u. The calculation puts the uncorrected formation energy at -0.8184 eV per atom. Its magnetic moment is 0.000 μB per cell.

Unit cell a=6.147 b=3.511 c=15.406 alpha=90.00 beta=93.67 gamma=90.00
Space group P2_1/m (No. 11)
Unique sites:
Si 0.055 0.250 0.381
Si 0.223 0.750 0.926
Si 0.230 0.750 0.165
Si 0.315 0.250 0.780
Si 0.434 0.250 0.564
Pt 0.007 0.750 0.781
Pt 0.148 0.250 0.051
Pt 0.195 0.750 0.498
Pt 0.282 0.750 0.321
Pt 0.343 0.750 0.673
Pt 0.475 0.250 0.924

Record 12
This record from the Alexandria database describes a crystal of SiPt5 relaxed with PBEsol. The functional is meta-GGA SCAN.

Values from the calculation:
As for the density of states at the Fermi level: 7.4 states/eV/f.u. The calculation puts the uncorrected formation energy at -0.2089 eV per atom. Its magnetic moment is 0.006 μB per cell.

Unit cell a=2.830 b=2.830 c=10.892 alpha=90.00 beta=90.00 gamma=90.00
Space group P4/mmm (No. 123)
Unique sites:
Si 0.000 0.000 0.000
Pt 0.000 0.000 0.326
Pt 0.500 0.500 0.138
Pt 0.500 0.500 0.500

Record 13
This record from the Alexandria database describes a crystal of SiPt relaxed with PBEsol. The functional is meta-GGA SCAN.

Values from the calculation:
As for the density of states at the Fermi level: 0.5 states/eV/f.u. The calculation puts the uncorrected formation energy at -0.7973 eV per atom. Its magnetic moment is 0.000 μB per cell.

Unit cell a=5.585 b=3.603 c=5.906 alpha=90.00 beta=90.00 gamma=90.00
Space group Pnma (No. 62)
Unique sites:
Si 0.177 0.250 0.084
Pt 0.003 0.750 0.308

Record 14
This record from the Alexandria database describes a crystal of SiPt5 relaxed with PBEsol. The functional is meta-GGA SCAN.

Values from the calculation:
As for the density of states at the Fermi level: 4.0 states/eV/f.u. The calculation puts the uncorrected formation energy at -0.2869 eV per atom. Its magnetic moment is 0.000 μB per cell.

Unit cell a=9.626 b=2.795 c=7.060 alpha=90.00 beta=112.74 gamma=90.00
Space group C2/m (No. 12)
Unique sites:
Si 0.000 0.000 0.000
Pt 0.000 0.000 0.500
Pt 0.137 0.500 0.852
Pt 0.175 0.500 0.309

Record 15
This record from the Alexandria database describes a crystal of Sm2Si5Pt3 relaxed with PBEsol. The functional is meta-GGA SCAN.

Values from the calculation:
As for the density of states at the Fermi level: 2.2 states/eV/f.u. The calculation puts the uncorrected formation energy at -1.1467 eV per atom. Its magnetic moment is 0.000 μB per cell.

Unit cell a=9.902 b=11.432 c=6.005 alpha=90.00 beta=90.00 gamma=90.00
Space group Ibam (No. 72)
Unique sites:
Sm 0.231 0.129 0.000
Si 0.000 0.000 0.250
Si 0.000 0.272 0.250
Si 0.151 0.387 0.000
Pt 0.000 0.500 0.250
Pt 0.111 0.136 0.500

Record 16
This record from the Alexandria database describes a crystal of Sm2Si3Pt relaxed with PBEsol. The functional is meta-GGA SCAN.

Values from the calculation:
As for the density of states at the Fermi level: 2.9 states/eV/f.u. The calculation puts the uncorrected formation energy at -1.0547 eV per atom. Its magnetic moment is 0.000 μB per cell.

Unit cell a=4.014 b=4.140 c=14.202 alpha=90.00 beta=90.00 gamma=90.00
Space group Imm2 (No. 44)
Unique sites:
Sm 0.000 0.000 0.000
Sm 0.000 0.500 0.258
Si 0.000 0.000 0.424
Si 0.000 0.000 0.589
Si 0.000 0.500 0.834
Pt 0.000 0.500 0.669

Record 17
This record from the Alexandria database describes a crystal of SiSnPt5 relaxed with PBEsol. The functional is meta-GGA SCAN.

Values from the calculation:
As for the density of states at the Fermi level: 1.0 states/eV/f.u. The calculation puts the uncorrected formation energy at -0.5849 eV per atom. Its magnetic moment is 0.000 μB per cell.

Unit cell a=3.961 b=3.961 c=6.994 alpha=90.00 beta=90.00 gamma=90.00
Space group P4/mmm (No. 123)
Unique sites:
Si 0.000 0.000 0.000
Sn 0.500 0.500 0.500
Pt 0.000 0.000 0.500
Pt 0.000 0.500 0.205

Record 18
This record from the Alexandria database describes a crystal of Sr2SiPt2 relaxed with PBEsol. The functional is meta-GGA SCAN.

Values from the calculation:
As for the density of states at the Fermi level: 1.9 states/eV/f.u. The calculation puts the uncorrected formation energy at -0.7243 eV per atom. Its magnetic moment is 0.000 μB per cell.

Unit cell a=5.920 b=5.920 c=7.220 alpha=90.00 beta=90.00 gamma=90.00
Space group I4/mmm (No. 139)
Unique sites:
Sr 0.000 0.500 0.250
Si 0.000 0.000 0.000
Pt 0.000 0.000 0.318

Record 19
This record from the Alexandria database describes a crystal of SrSiPt relaxed with PBEsol. The functional is meta-GGA SCAN.

Values from the calculation:
As for the density of states at the Fermi level: 0.5 states/eV/f.u. The calculation puts the uncorrected formation energy at -1.1629 eV per atom. Its magnetic moment is 0.000 μB per cell.

Unit cell a=6.466 b=6.466 c=6.466 alpha=90.00 beta=90.00 gamma=90.00
Space group P2_13 (No. 198)
Unique sites:
Sr 0.131 0.131 0.131
Si 0.160 0.340 0.660
Pt 0.087 0.587 0.913

Record 20
This record from the Alexandria database describes a crystal of SrSiPt relaxed with PBEsol. The functional is meta-GGA SCAN.

Values from the calculation:
As for the density of states at the Fermi level: 2.5 states/eV/f.u. The calculation puts the uncorrected formation energy at 0.5825 eV per atom. Its magnetic moment is 0.000 μB per cell.

Unit cell a=6.730 b=6.730 c=6.730 alpha=90.00 beta=90.00 gamma=90.00
Space group F-43m (No. 216)
Unique sites:
Sr 0.000 0.000 0.000
Si 0.250 0.250 0.250
Pt 0.250 0.250 0.750